Record 1
VASP calculation (PBE-GGA) on an optimized crystal structure of Pr2I2N.

abc: 3.6667 7.4225 11.6005
angles: 90.00 90.00 104.30
Element x y z (fractional)
Pr: 0.2079 0.4158 0.0932
Pr: 0.0331 0.0662 0.9145
Pr: 0.7921 0.5842 0.5932
Pr: 0.9669 0.9338 0.4145
I: 0.8993 0.7986 0.1464
I: 0.3423 0.6846 0.8322
I: 0.1007 0.2014 0.6464
I: 0.6577 0.3154 0.3322
N: 0.6214 0.2428 0.9990
N: 0.3786 0.7572 0.4990

Computed properties:
distance to the lowest polymorph of the same formula: 0.209 eV per atom
formation energy (no corrections): -5.6 eV per formula unit



Record 2
VASP calculation (PBE-GGA) on an optimized crystal structure of V2GeMo2.

abc: 6.8339 6.8339 3.2589
angles: 90.00 90.00 90.00
Element x y z (fractional)
Mo: 0.1977 0.6977 0.5000
Mo: 0.6977 0.8023 0.5000
Mo: 0.8023 0.3023 0.5000
Mo: 0.3023 0.1977 0.5000
Ge: 0.0000 0.0000 0.0000
Ge: 0.5000 0.5000 0.0000
V: 0.3872 0.8872 0.0000
V: 0.8872 0.6128 0.0000
V: 0.6128 0.1128 0.0000
V: 0.1128 0.3872 0.0000

Computed properties:
distance to the lowest polymorph of the same formula: 0.000 eV per atom
calculated formation energy: 0.31 eV/atom



Record 3
VASP calculation (PBE-GGA) on an optimized crystal structure of NdYSc2As4.

abc: 4.0520 6.9850 7.0114
angles: 70.44 90.00 90.00
Element x y z (fractional)
Nd: 0.5000 0.5000 0.0000
Y: 0.0000 0.5000 0.5000
Sc: 0.0000 0.0000 0.0000
Sc: 0.5000 0.0000 0.5000
As: 0.0000 0.7716 0.7386
As: 0.0000 0.2284 0.2614
As: 0.5000 0.7684 0.2479
As: 0.5000 0.2316 0.7521

Computed properties:
calculated formation energy: -1.43 eV/atom



Record 4
VASP calculation (PBE-GGA) on an optimized crystal structure of Ta2Cr2Cl7.

abc: 6.3472 6.3472 16.2948
angles: 80.62 80.62 110.01
Each line ends with the local moment (μB).
Element x y z (fractional)
Ta: 0.4304 0.6693 0.4726  -0.24
Ta: 0.3307 0.5696 0.0274  -0.24
Ta: 0.6693 0.4304 0.9726  -0.24
Ta: 0.5696 0.3307 0.5274  -0.24
Cr: 0.2227 0.1491 0.1127  3.37
Cr: 0.1491 0.2227 0.6127  3.37
Cr: 0.8509 0.7773 0.3873  3.37
Cr: 0.7773 0.8509 0.8873  3.37
Cl: 0.1799 0.6542 0.3749  0.01
Cl: 0.9630 0.2390 0.0297  0.00
Cl: 0.5556 0.4397 0.3760  -0.01
Cl: 0.9584 0.0416 0.2500  0.03
Cl: 0.6542 0.1799 0.8749  0.01
Cl: 0.2390 0.9630 0.5297  0.00
Cl: 0.4397 0.5556 0.8760  -0.01
Cl: 0.5603 0.4444 0.1240  -0.01
Cl: 0.7610 0.0370 0.4703  0.00
Cl: 0.3458 0.8201 0.1251  0.01
Cl: 0.0416 0.9584 0.7500  0.03
Cl: 0.4444 0.5603 0.6240  -0.01
Cl: 0.0370 0.7610 0.9703  0.00
Cl: 0.8201 0.3458 0.6251  0.01

Computed properties:
formation energy (no corrections): -7.4 eV per formula unit



Record 5
VASP calculation (PBE-GGA) on an optimized crystal structure of KHfIn2.

abc: 5.5523 5.5523 10.6191
angles: 74.85 74.85 90.00
Element x y z (fractional)
K: 0.5000 0.5000 0.0000
K: 0.2500 0.7500 0.5000
Hf: 0.0000 0.0000 0.0000
Hf: 0.7500 0.2500 0.5000
In: 0.7446 0.1250 0.2500
In: 0.0054 0.6250 0.2500
In: 0.3750 0.2554 0.7500
In: 0.8750 0.9946 0.7500

Computed properties:
distance to the lowest polymorph of the same formula: 0.296 eV per atom
calculated formation energy: 0.64 eV/atom



Record 6
VASP calculation (PBE-GGA) on an optimized crystal structure of SrTlInPd3.

abc: 6.2177 6.7152 7.4557
angles: 116.77 90.00 90.00
Element x y z (fractional)
Sr: 0.7500 0.3151 0.6302
Sr: 0.2500 0.6849 0.3698
Tl: 0.2500 0.3498 0.6996
Tl: 0.7500 0.6502 0.3004
In: 0.2500 0.9295 0.8591
In: 0.7500 0.0705 0.1409
Pd: 0.2500 0.1400 0.2800
Pd: 0.0000 0.2939 0.0000
Pd: 0.5000 0.7061 0.0000
Pd: 0.5000 0.2939 0.0000
Pd: 0.0000 0.7061 0.0000
Pd: 0.7500 0.8600 0.7200

Computed properties:
calculated formation energy: -0.34 eV/atom



Record 7
VASP calculation (PBE-GGA) on an optimized crystal structure of CaCd4In4.

abc: 6.2612 6.2612 12.9440
angles: 90.00 90.00 90.00
Element x y z (fractional)
Ca: 0.0000 0.0000 0.0000
Ca: 0.5000 0.5000 0.5000
Cd: 0.2460 0.5000 0.7618
Cd: 0.7540 0.5000 0.7618
Cd: 0.5000 0.7540 0.2382
Cd: 0.5000 0.2460 0.2382
Cd: 0.0000 0.7460 0.2618
Cd: 0.0000 0.2540 0.2618
Cd: 0.2540 0.0000 0.7382
Cd: 0.7460 0.0000 0.7382
In: 0.5000 0.7673 0.9243
In: 0.5000 0.2327 0.9243
In: 0.7673 0.5000 0.0757
In: 0.2327 0.5000 0.0757
In: 0.2673 0.0000 0.4243
In: 0.7327 0.0000 0.4243
In: 0.0000 0.2673 0.5757
In: 0.0000 0.7327 0.5757

Computed properties:
distance to the lowest polymorph of the same formula: 0.094 eV per atom
calculated formation energy: -0.02 eV/atom



Record 8
VASP calculation (PBE-GGA) on an optimized crystal structure of GdAlNiRu.

abc: 4.5332 4.5332 4.5332
angles: 60.00 60.00 60.00
Each line ends with the local moment (μB).
Element x y z (fractional)
Ru: 0.7500 0.7500 0.7500  0.02
Gd: 0.0000 0.0000 0.0000  7.00
Al: 0.5000 0.5000 0.5000  0.00
Ni: 0.2500 0.2500 0.2500  -0.01

Computed properties:
calculated formation energy: -0.38 eV/atom



Record 9
VASP calculation (PBE-GGA) on an optimized crystal structure of MoPdRh2.

abc: 6.9674 6.9674 5.6298
angles: 51.77 51.77 90.00
Element x y z (fractional)
Mo: 0.5000 0.5000 0.0000
Mo: 0.2500 0.7500 0.5000
Rh: 0.5919 0.1250 0.2500
Rh: 0.1581 0.6250 0.2500
Rh: 0.3750 0.4081 0.7500
Rh: 0.8750 0.8419 0.7500
Pd: 0.0000 0.0000 0.0000
Pd: 0.7500 0.2500 0.5000

Computed properties:
calculated formation energy: 0.28 eV/atom



Record 10
VASP calculation (PBE-GGA) on an optimized crystal structure of Rb3VTe4.

abc: 8.0006 8.0006 8.0006
angles: 90.58 116.51 122.92
Element x y z (fractional)
Rb: 0.5901 0.2509 0.8411
Rb: 0.9700 0.0000 0.9700
Rb: 0.5901 0.7491 0.3392
V: 0.0045 0.5000 0.5045
Te: 0.1692 0.6893 0.8585
Te: 0.1692 0.3107 0.4800
Te: 0.5686 0.2397 0.3289
Te: 0.0892 0.7603 0.3289

Computed properties:
formation energy (no corrections): -5.4 eV per formula unit



Record 11
VASP calculation (PBE-GGA) on an optimized crystal structure of Ce2NdCd6.

abc: 3.3326 8.8659 8.8659
angles: 120.00 90.00 90.00
Each line ends with the local moment (μB).
Element x y z (fractional)
Ce: 0.0000 0.3333 0.6667  0.97
Ce: 0.0000 0.6667 0.3333  0.97
Nd: 0.0000 0.0000 0.0000  0.05
Cd: 0.5000 0.3333 0.3333  0.00
Cd: 0.5000 0.6667 0.6667  0.00
Cd: 0.5000 0.0000 0.6667  0.00
Cd: 0.5000 0.6667 0.0000  0.00
Cd: 0.5000 0.3333 0.0000  0.00
Cd: 0.5000 0.0000 0.3333  0.00

Computed properties:
calculated formation energy: -0.28 eV/atom



Record 12
VASP calculation (PBE-GGA) on an optimized crystal structure of TaReSb2.

abc: 5.0934 5.0934 5.0934
angles: 128.94 128.94 75.11
Element x y z (fractional)
Re: 0.7500 0.2500 0.5000
Sb: 0.0000 0.0000 0.0000
Sb: 0.2500 0.7500 0.5000
Ta: 0.5000 0.5000 0.0000

Computed properties:
distance to the lowest polymorph of the same formula: 0.491 eV per atom
formation energy (no corrections): 2.1 eV per formula unit



Record 13
VASP calculation (PBE-GGA) on an optimized crystal structure of V4RhW3.

abc: 3.0730 4.3534 8.6486
angles: 90.00 90.00 90.00
Element x y z (fractional)
Rh: 0.5000 0.5000 0.0000
W: 0.5000 0.0000 0.2457
W: 0.5000 0.5000 0.5000
W: 0.5000 0.0000 0.7543
V: 0.0000 0.0000 0.5000
V: 0.0000 0.5000 0.7493
V: 0.0000 0.0000 0.0000
V: 0.0000 0.5000 0.2507

Computed properties:
calculated formation energy: -0.16 eV/atom



Record 14
VASP calculation (PBE-GGA) on an optimized crystal structure of Y4ErTm3.

abc: 6.2459 7.2323 11.1753
angles: 90.00 90.00 90.00
Element x y z (fractional)
Y: 0.1454 0.8730 0.0000
Y: 0.6462 0.1278 0.0000
Y: 0.9829 0.1273 0.2503
Y: 0.4829 0.8727 0.2497
Y: 0.1462 0.8722 0.5000
Y: 0.6454 0.1270 0.5000
Y: 0.4829 0.8727 0.7503
Y: 0.9829 0.1273 0.7497
Er: 0.1493 0.3777 0.0000
Er: 0.6493 0.6223 0.5000
Tm: 0.6491 0.6227 0.0000
Tm: 0.9798 0.6225 0.2499
Tm: 0.4798 0.3775 0.2501
Tm: 0.1491 0.3773 0.5000
Tm: 0.4798 0.3775 0.7499
Tm: 0.9798 0.6225 0.7501

Computed properties:
distance to the lowest polymorph of the same formula: 0.000 eV per atom
calculated formation energy: 0.00 eV/atom



Record 15
VASP calculation (PBE-GGA) on an optimized crystal structure of Cs3Cd4Rh.

abc: 7.6891 7.6891 7.6891
angles: 120.57 82.58 128.36
Element x y z (fractional)
Cs: 0.5669 0.2469 0.8138
Cs: 0.9124 0.0000 0.9124
Cs: 0.5669 0.7531 0.3200
Cd: 0.2120 0.7081 0.9201
Cd: 0.2120 0.2919 0.5040
Cd: 0.5905 0.2611 0.3295
Cd: 0.0684 0.7389 0.3295
Rh: 0.0219 0.5000 0.5219

Computed properties:
calculated formation energy: 0.03 eV/atom



Record 16
VASP calculation (PBE-GGA) on an optimized crystal structure of Tb2SbRh.

abc: 4.2936 6.1185 8.2045
angles: 112.34 90.00 90.00
Element x y z (fractional)
Tb: 0.7500 0.2034 0.4497
Tb: 0.2500 0.7966 0.5503
Tb: 0.2500 0.7687 0.0986
Tb: 0.7500 0.2313 0.9014
Sb: 0.2500 0.3210 0.2076
Sb: 0.7500 0.6790 0.7924
Rh: 0.7500 0.6624 0.2906
Rh: 0.2500 0.3376 0.7094

Computed properties:
distance to the lowest polymorph of the same formula: 0.000 eV per atom
formation energy (no corrections): -3.8 eV per formula unit



Record 17
VASP calculation (PBE-GGA) on an optimized crystal structure of GaIrNF2.

abc: 4.4951 4.4951 3.6993
angles: 90.00 90.00 90.00
Element x y z (fractional)
N: 0.0000 0.0000 0.5000
Ir: 0.0000 0.0000 0.0000
Ga: 0.5000 0.5000 0.5000
F: 0.0000 0.5000 0.0000
F: 0.5000 0.0000 0.0000

Computed properties:
distance to the lowest polymorph of the same formula: 0.000 eV per atom
formation energy (no corrections): -2.2 eV per formula unit



Record 18
VASP calculation (PBE-GGA) on an optimized crystal structure of NdDy5Au6.

abc: 5.1287 7.1909 8.1468
angles: 90.00 108.48 90.00
Element x y z (fractional)
Au: 0.8296 0.7470 0.6578
Au: 0.8296 0.2530 0.6578
Au: 0.5000 0.2617 0.0000
Au: 0.5000 0.7383 0.0000
Au: 0.1704 0.7470 0.3422
Au: 0.1704 0.2530 0.3422
Nd: 0.0000 0.0000 0.0000
Dy: 0.6655 0.5000 0.3318
Dy: 0.3330 0.0000 0.6653
Dy: 0.0000 0.5000 0.0000
Dy: 0.6670 0.0000 0.3347
Dy: 0.3345 0.5000 0.6682

Computed properties:
calculated formation energy: -0.84 eV/atom



Record 19
VASP calculation (PBE-GGA) on an optimized crystal structure of Tb5NiHg2.

abc: 5.6916 6.8740 12.4289
angles: 90.00 90.00 114.46
Element x y z (fractional)
Tb: 0.9292 0.8583 0.8924
Tb: 0.9292 0.8583 0.6076
Tb: 0.3758 0.7516 0.4317
Tb: 0.3758 0.7516 0.0683
Tb: 0.6091 0.2182 0.2500
Tb: 0.3909 0.7818 0.7500
Tb: 0.6242 0.2484 0.5683
Tb: 0.6242 0.2484 0.9317
Tb: 0.0708 0.1417 0.1076
Tb: 0.0708 0.1417 0.3924
Ni: 0.7675 0.5350 0.7500
Ni: 0.2325 0.4650 0.2500
Hg: 0.8172 0.6345 0.3739
Hg: 0.8172 0.6345 0.1261
Hg: 0.1828 0.3655 0.6261
Hg: 0.1828 0.3655 0.8739

Computed properties:
distance to the lowest polymorph of the same formula: 0.215 eV per atom
calculated formation energy: -0.12 eV/atom



Record 20
VASP calculation (PBE-GGA) on an optimized crystal structure of TiCuIrAu.

abc: 4.4042 4.4042 4.4042
angles: 60.00 60.00 60.00
Element x y z (fractional)
Ir: 0.5000 0.5000 0.5000
Au: 0.0000 0.0000 0.0000
Cu: 0.7500 0.7500 0.7500
Ti: 0.2500 0.2500 0.2500

Computed properties:
calculated formation energy: -0.28 eV/atom



Number 1: calculated total energy -5.310 eV per atom, magnetic moment 0.00 μB/f.u.. Number 2: calculated total energy -8.590 eV per atom, magnetic moment 0.00 μB/f.u.. Number 3: calculated total energy -6.741 eV per atom, magnetic moment 0.00 μB/f.u.. Number 4: calculated total energy -5.755 eV per atom, magnetic moment 7.00 μB/f.u.. Number 5: calculated total energy -3.490 eV per atom, magnetic moment 0.00 μB/f.u.. Number 6: calculated total energy -4.069 eV per atom, magnetic moment 0.00 μB/f.u.. Number 7: calculated total energy -1.865 eV per atom, magnetic moment 0.00 μB/f.u.. Number 8: calculated total energy -8.595 eV per atom, magnetic moment 7.13 μB/f.u.. Number 9: calculated total energy -7.401 eV per atom, magnetic moment 0.00 μB/f.u.. Number 10: calculated total energy -3.745 eV per atom, magnetic moment 0.00 μB/f.u.. Number 11: calculated total energy -2.742 eV per atom, magnetic moment 2.59 μB/f.u.. Number 12: calculated total energy -7.605 eV per atom, magnetic moment 0.00 μB/f.u.. Number 13: calculated total energy -10.497 eV per atom, magnetic moment 0.00 μB/f.u.. Number 14: calculated total energy -5.479 eV per atom, magnetic moment 0.01 μB/f.u.. Number 15: calculated total energy -1.669 eV per atom, magnetic moment 0.00 μB/f.u.. Number 16: calculated total energy -6.139 eV per atom, magnetic moment 0.00 μB/f.u.. Number 17: calculated total energy -5.228 eV per atom, magnetic moment 0.00 μB/f.u.. Number 18: calculated total energy -4.797 eV per atom, magnetic moment 0.00 μB/f.u.. Number 19: calculated total energy -3.815 eV per atom, magnetic moment 0.00 μB/f.u.. Number 20: calculated total energy -6.317 eV per atom, magnetic moment 0.00 μB/f.u..